VASP calculation (GGA+U) on a relaxed structure of SrLaCoO4.

Cell and atoms, written as CIF:
```
data_SrLaCoO4
_chemical_formula_sum 'Sr2 La2 Co2 O8'
_cell_length_a 5.488
_cell_length_b 5.465
_cell_length_c 6.808
_cell_angle_alpha 90.00
_cell_angle_beta 113.48
_cell_angle_gamma 90.00
_symmetry_space_group_name_H-M 'C 1 m 1'
_symmetry_Int_Tables_number 8
loop_
_symmetry_equiv_pos_as_xyz
'x,y,z'
'x,-y,z'
'x+1/2,y+1/2,z'
'x+1/2,-y+1/2,z'
loop_
_atom_site_label
_atom_site_type_symbol
_atom_site_fract_x
_atom_site_fract_y
_atom_site_fract_z
Sr1 Sr 0.000 0.000 0.000
La1 La 0.213 0.500 0.439
Co1 Co 0.358 0.000 0.724
O1 O 0.026 0.500 0.060
O2 O 0.101 0.251 0.708
O3 O 0.196 0.000 0.393
```

Summary:
Offset from the most stable computed form (meV/atom): 2
Mass density (Mg/m³): 6.20
Crystal system: monoclinic
Magnetic moment (Bohr magnetons per cell): 3.99